# Sc2CrCl

An optimized crystal structure of Sc2CrCl (PBE, Alexandria).

Spin magnetization ... 2.24 μB/f.u.
Density ... 3.62 g/cm3
SG ... No. 10
Formation energy (no corrections) ... -464.5 meV per atom
Final energy ... -25.991 eV/f.u.
D(E_F) ... 3.65 states/eV per cell

Geometry as POSCAR:
```
Sc2CrCl
1.0
3.2005 0.0000 0.0000
0.0000 3.2967 -0.0832
0.0000 0.2041 7.7087
Cl Sc Cr
1 2 1
direct
0.5000 0.2500 0.2500
0.0000 0.2507 0.5360
0.0000 0.2493 0.9640
0.5000 0.7500 0.7500
```